A plane-wave DFT calculation with GGA-PBE was carried out for a geometry-optimized NbCoPRu2 structure.

## Properties
Its spin magnetization is 1.324 μB per formula unit. Its theoretical density is 6.495 g/cm3. For the energy of formation from the pure elements, the calculation gives 1.727 eV/atom. The value obtained for the calculated total energy is -6.500 eV/atom.

Cell: 4.6990 4.4571 4.6990 Å, 90.00 90.00 90.00°
With the nearest neighbours (Å) after each atom.
Positions (direct):
Co 0.0000 0.5000 0.0000  2 Nb 2.23
Nb 0.0000 0.0000 0.0000  2 Co 2.23, 4 Ru 2.35
Ru 0.5000 0.0000 0.0000  2 Nb 2.35
Ru 0.0000 0.0000 0.5000  2 Nb 2.35
P 0.5000 0.5000 0.5000  8 Ru 3.24, 4 Co 3.32